This record from Alexandria describes La4CeNd7 after structural relaxation. The functional is PBE.

As for the formation energy: 0.224 eV per atom. The value obtained for the size of the total moment is 0.00 μB per atom.

The structure belongs to space group C2/m (No. 12); the cell edges are 12.201, 6.086 and 13.227 Å and the angles 90.00°, 117.14° and 90.00°. The asymmetric unit holds La at (0.056, 0.000, 0.327), La at (0.142, 0.500, 0.778), Ce at (0.000, 0.500, 0.000), Nd at (0.000, 0.000, 0.000), Nd at (0.135, 0.500, 0.503), Nd at (0.220, 0.000, 0.924) and Nd at (0.246, 0.500, 0.314).